TbSm2PuP4: optimized geometry, PBE.

Calculated volume ... 189 Å³ per cell
Space-group type ... No. 10
Electronic total energy ... -7.722 eV per atom
DOS at the Fermi energy ... 12.134 states/eV/cell

abc: 7.0144 4.0628 7.0205
angles: 90.00 109.48 90.00
With the nearest neighbours (Å) after each atom.
Fractional coordinates of all 8 atoms:
Tb 0.0000 0.0000 0.0000  6 P 2.85
Sm 0.0000 0.5000 0.5000  6 P 2.91
Sm 0.5000 0.0000 0.5000  6 P 2.88-2.89
Pu 0.5000 0.5000 0.0000  6 P 2.82
P 0.2506 0.5000 0.2428  1 Pu 2.82, 2 Tb 2.85, 3 Sm 2.89-2.91
P 0.2563 0.0000 0.7596  2 Pu 2.82, 1 Tb 2.85, 3 Sm 2.88-2.91
P 0.7437 0.0000 0.2404  2 Pu 2.82, 1 Tb 2.85, 3 Sm 2.88-2.91
P 0.7494 0.5000 0.7572  1 Pu 2.82, 2 Tb 2.85, 3 Sm 2.89-2.91

SmPuTeP: optimized geometry, PBE.

Calculated volume ... 326 Å³ per cell
Space-group type ... No. 160
DOS at the Fermi energy ... 31.533 states/eV/cell
Formation energy without anion corrections ... -1356.7 meV/atom

abc: 4.2011 4.2011 21.3262
angles: 90.00 90.00 120.00
With the nearest neighbours (Å) after each atom.
Fractional coordinates of all 12 atoms:
Sm 0.0000 0.0000 0.0000  3 P 2.89, 3 Te 3.17
Sm 0.3333 0.6667 0.6667  3 P 2.89, 3 Te 3.17
Sm 0.6667 0.3333 0.3333  3 P 2.89, 3 Te 3.17
Pu 0.0000 0.0000 0.4773  3 P 2.85, 3 Te 3.14
Pu 0.3333 0.6667 0.1440  3 P 2.85, 3 Te 3.14
Pu 0.6667 0.3333 0.8106  3 P 2.85, 3 Te 3.14
Te 0.0000 0.0000 0.2373  3 Pu 3.14, 3 Sm 3.17
Te 0.3333 0.6667 0.9039  3 Pu 3.14, 3 Sm 3.17
Te 0.6667 0.3333 0.5706  3 Pu 3.14, 3 Sm 3.17
P 0.0000 0.0000 0.7402  3 Pu 2.85, 3 Sm 2.89
P 0.3333 0.6667 0.4069  3 Pu 2.85, 3 Sm 2.89
P 0.6667 0.3333 0.0735  3 Pu 2.85, 3 Sm 2.89